[1]
KNbP2 | PBE | optimized geometry

Computed properties:
The theoretical density is 2.53 Mg/m³. Its formation enthalpy at 0 K is -0.284 eV per atom. As for the space group: I-42d, No. 122. The magnetic moment comes out at 0.000 Bohr magnetons per cell. The energy above the lowest structure with this stoichiometry comes out at 0.000 eV per atom.

Unit cell a=6.9425 b=6.9425 c=7.2160 alpha=61.25 beta=61.25 gamma=90.00
Closest atoms and distances in Å follow each position.
Atoms (fractional coordinates):
1 Nb 0.7500 0.2500 0.5000  4 P 2.38
2 P 0.7397 0.1250 0.2500  2 Nb 2.38
3 Nb 0.0000 0.0000 0.0000  4 P 2.38
4 K 0.5000 0.5000 0.0000  4 P 3.34
5 P 0.0103 0.6250 0.2500  2 Nb 2.38
6 P 0.3750 0.2603 0.7500  2 Nb 2.38
7 K 0.2500 0.7500 0.5000  4 P 3.34
8 P 0.8750 0.9897 0.7500  2 Nb 2.38

---

[2]
Pm2InI8 | PBE | optimized geometry

Computed properties:
The theoretical density is 3.72 Mg/m³. As for the space group: P-3m1, No. 164. The calculation puts the final energy at -3.18 eV per atom. The magnetic moment comes out at 0.000 Bohr magnetons per cell.

Unit cell a=8.4403 b=9.3181 c=9.3181 alpha=120.00 beta=90.00 gamma=90.00
Closest atoms and distances in Å follow each position.
Atoms (fractional coordinates):
1 I 0.2647 0.1519 0.3037  1 Pm 2.99, 1 In 3.15
2 I 0.1459 0.6667 0.3333  1 Pm 2.89
3 Pm 0.8041 0.6667 0.3333  4 I 2.89-2.99
4 I 0.8541 0.3333 0.6667  1 Pm 2.89
5 I 0.2647 0.1519 0.8481  1 Pm 2.99, 1 In 3.15
6 I 0.7353 0.8481 0.1519  1 Pm 2.99, 1 In 3.15
7 I 0.7353 0.3037 0.1519  1 Pm 2.99, 1 In 3.15
8 I 0.7353 0.8481 0.6963  1 Pm 2.99, 1 In 3.15
9 I 0.2647 0.6963 0.8481  1 Pm 2.99, 1 In 3.15
10 In 0.5000 0.0000 0.0000  6 I 3.15
11 Pm 0.1959 0.3333 0.6667  4 I 2.89-2.99

---

[3]
TaNb5Ir | PBE | optimized geometry

Computed properties:
The theoretical density is 10.91 Mg/m³. Its formation enthalpy at 0 K is 0.101 eV per atom. As for the space group: C2/c, No. 15. The magnetic moment comes out at 0.000 Bohr magnetons per cell.

Unit cell a=5.3825 b=5.3825 c=9.8651 alpha=106.79 beta=106.79 gamma=97.24
Closest atoms and distances in Å follow each position.
Atoms (fractional coordinates):
1 Nb 0.7897 0.4462 0.5469  3 Nb 2.60-2.74, 1 Ir 2.76, 1 Ta 2.88
2 Ta 0.5073 0.4927 0.2500  9 Nb 2.88-3.00
3 Nb 0.3913 0.0300 0.3511  4 Nb 2.69-2.96, 1 Ir 2.91, 2 Ta 2.98-3.00
4 Nb 0.8653 0.1347 0.2500  4 Nb 2.60-2.90, 2 Ir 2.70, 1 Ta 2.89
5 Nb 0.5538 0.2103 0.9531  3 Nb 2.60-2.74, 1 Ir 2.76, 1 Ta 2.88
6 Nb 0.6087 0.9700 0.6489  4 Nb 2.69-2.96, 1 Ir 2.91, 2 Ta 2.98-3.00
7 Ir 0.0000 0.0000 0.0000  6 Nb 2.70-2.91
8 Ir 0.0000 0.0000 0.5000  6 Nb 2.70-2.91
9 Nb 0.9700 0.6087 0.1489  4 Nb 2.69-2.96, 1 Ir 2.91, 2 Ta 2.98-3.00
10 Nb 0.1347 0.8653 0.7500  4 Nb 2.60-2.90, 2 Ir 2.70, 1 Ta 2.89
11 Nb 0.2103 0.5538 0.4531  3 Nb 2.60-2.74, 1 Ir 2.76, 1 Ta 2.88
12 Nb 0.0300 0.3913 0.8511  4 Nb 2.69-2.96, 1 Ir 2.91, 2 Ta 2.98-3.00
13 Nb 0.4462 0.7897 0.0469  3 Nb 2.60-2.74, 1 Ir 2.76, 1 Ta 2.88
14 Ta 0.4927 0.5073 0.7500  9 Nb 2.88-3.00